# 1
First-principles (PBE) data for PmDy2Tm4Sc after structural relaxation, as listed in Alexandria via LeMat-Bulk.

abc: 9.3384 9.3384 6.6834
angles: 110.96 110.96 88.81
With the nearest neighbours (Å) after each atom.
Element x y z (fractional)
Pm (0.0000, 0.5000, 0.0000)  6 Tm 3.28-3.34, 2 Dy 3.34
Pm (0.5000, 0.0000, 0.5000)  6 Tm 3.28-3.34, 2 Dy 3.34
Dy (0.0000, 0.0000, 0.0000)  2 Dy 3.34, 6 Tm 3.40-3.46
Dy (0.0000, 0.0000, 0.5000)  2 Dy 3.34, 6 Tm 3.40-3.46
Dy (0.0000, 0.5000, 0.5000)  6 Tm 3.26-3.34, 2 Pm 3.34
Dy (0.5000, 0.0000, 0.0000)  6 Tm 3.26-3.34, 2 Pm 3.34
Tm (0.2604, 0.7398, 0.5008)  1 Sc 3.13, 2 Tm 3.33-3.35, 3 Dy 3.34-3.40, 2 Pm 3.34
Tm (0.2602, 0.7396, 0.9992)  1 Sc 3.13, 2 Tm 3.33-3.35, 3 Dy 3.34-3.40, 2 Pm 3.34
Tm (0.2611, 0.2625, 0.5128)  2 Sc 3.22, 3 Dy 3.26-3.46, 1 Pm 3.28, 2 Tm 3.34
Tm (0.2625, 0.2611, 0.0128)  2 Sc 3.22, 3 Dy 3.26-3.46, 1 Pm 3.28, 2 Tm 3.34
Tm (0.7375, 0.7389, 0.9872)  2 Sc 3.22, 3 Dy 3.26-3.46, 1 Pm 3.28, 2 Tm 3.34
Tm (0.7389, 0.7375, 0.4872)  2 Sc 3.22, 3 Dy 3.26-3.46, 1 Pm 3.28, 2 Tm 3.34
Tm (0.7398, 0.2604, 0.0008)  1 Sc 3.13, 2 Tm 3.33-3.35, 3 Dy 3.34-3.40, 2 Pm 3.34
Tm (0.7396, 0.2602, 0.4992)  1 Sc 3.13, 2 Tm 3.33-3.35, 3 Dy 3.34-3.40, 2 Pm 3.34
Sc (0.5000, 0.5000, 0.0000)  6 Tm 3.13-3.22, 2 Sc 3.34
Sc (0.5000, 0.5000, 0.5000)  6 Tm 3.13-3.22, 2 Sc 3.34

Properties
* VASP energy: -4.323 eV per atom
* energy of formation from the pure elements: 0.448 eV per atom
* space group: No. 15


# 2
First-principles (PBE) data for PmHgCl6 after structural relaxation, as listed in Alexandria via LeMat-Bulk.

abc: 6.5555 6.6177 6.9824
angles: 116.76 90.07 115.64
With the nearest neighbours (Å) after each atom.
Element x y z (fractional)
Pm (0.0000, 0.0000, 0.0000)  6 Cl 2.71-2.77
Hg (0.5000, 0.0000, 0.5000)  4 Cl 2.53-2.60
Cl (0.0690, 0.4877, 0.2481)  1 Pm 2.71, 1 Hg 2.98
Cl (0.2650, 0.1871, 0.7552)  1 Hg 2.60, 1 Pm 2.74
Cl (0.4199, 0.1627, 0.2591)  1 Hg 2.53, 1 Pm 2.77
Cl (0.5801, 0.8373, 0.7409)  1 Hg 2.53, 1 Pm 2.77
Cl (0.7350, 0.8129, 0.2448)  1 Hg 2.60, 1 Pm 2.74
Cl (0.9310, 0.5123, 0.7519)  1 Pm 2.71, 1 Hg 2.98

Properties
* VASP energy: -3.199 eV per atom
* raw formation energy: -1.1820 eV per atom
* space group: No. 2


# 3
First-principles (PBE) data for SnGeIr2 after structural relaxation, as listed in Alexandria via LeMat-Bulk.

abc: 5.5635 5.5635 5.5635
angles: 42.50 42.50 42.50
With the nearest neighbours (Å) after each atom.
Element x y z (fractional)
Sn (0.0000, 0.0000, 0.0000)  1 Ge 2.74, 6 Ir 2.76-2.81
Ge (0.8193, 0.8193, 0.8193)  6 Ir 2.47-2.60, 1 Sn 2.74
Ir (0.2296, 0.2296, 0.2296)  3 Ge 2.60, 3 Sn 2.81
Ir (0.4307, 0.4307, 0.4307)  3 Ge 2.47, 3 Sn 2.76

Properties
* VASP energy: -6.684 eV per atom
* distance to the lowest polymorph of the same formula: 0.000 kcal/mol of atoms
* energy of formation from the pure elements: -0.098 eV per atom
* space group: No. 160


> Look up the VASP energy of the second one.

-3.199 eV per atom